Record 1
{"formula": "HOsAu2", "functional": "GGA-PBE", "state": "optimized geometry", "lattice_angstrom": [[0.0000, 3.1191, 3.1191], [3.1191, 0.0000, 3.1191], [3.1191, 3.1191, 0.0000]], "species": ["H", "Os", "Au", "Au"], "fractional_positions": [[0.0000, 0.0000, 0.0000], [0.5000, 0.5000, 0.5000], [0.2500, 0.2500, 0.2500], [0.7500, 0.7500, 0.7500]], "sg": "No. 225", "magnetic_moment_mub_per_fu": 1.53, "final_energy_ev_per_fu": -16.03, "vol_a3_per_atom": 15.17, "dos_at_fermi_per_ev_cell": 5.50}

=====

Record 2
{"formula": "H2OsAu4", "functional": "GGA-PBE", "state": "optimized geometry", "lattice_angstrom": [[-2.6044, 2.6044, 4.8100], [2.6044, -2.6044, 4.8100], [2.6044, 2.6044, -4.8100]], "species": ["H", "H", "Os", "Au", "Au", "Au", "Au"], "fractional_positions": [[0.0448, 0.0448, 0.0000], [0.9552, 0.9552, 0.0000], [0.5000, 0.5000, 0.0000], [0.0000, 0.5000, 0.5000], [0.2306, 0.2306, 0.0000], [0.5000, 0.0000, 0.5000], [0.7694, 0.7694, 0.0000]], "sg": "No. 139", "magnetic_moment_mub_per_fu": 2.90, "final_energy_ev_per_fu": -23.49, "vol_a3_per_atom": 18.64, "dos_at_fermi_per_ev_cell": 3.57}

=====

Record 3
{"formula": "HOs2Au", "functional": "GGA-PBE", "state": "optimized geometry", "lattice_angstrom": [[-3.0635, 3.0635, 2.6723], [3.0635, -3.0635, 2.6723], [3.0635, 3.0635, -2.6723]], "species": ["H", "H", "Os", "Os", "Os", "Os", "Au", "Au"], "fractional_positions": [[0.0000, 0.0000, 0.0000], [0.7500, 0.2500, 0.5000], [0.0224, 0.6250, 0.8974], [0.3750, 0.2724, 0.3974], [0.7276, 0.1250, 0.1026], [0.8750, 0.9776, 0.6026], [0.2500, 0.7500, 0.5000], [0.5000, 0.5000, 0.0000]], "sg": "No. 122", "magnetic_moment_mub_per_fu": 0.00, "final_energy_ev_per_fu": -25.98, "vol_a3_per_atom": 12.54, "dos_at_fermi_per_ev_cell": 2.72}

=====

Record 4
{"formula": "HOs2Au", "functional": "GGA-PBE", "state": "optimized geometry", "lattice_angstrom": [[0.0000, 3.0000, 3.0000], [3.0000, 0.0000, 3.0000], [3.0000, 3.0000, 0.0000]], "species": ["H", "Os", "Os", "Au"], "fractional_positions": [[0.0000, 0.0000, 0.0000], [0.2500, 0.2500, 0.2500], [0.7500, 0.7500, 0.7500], [0.5000, 0.5000, 0.5000]], "sg": "No. 225", "magnetic_moment_mub_per_fu": 0.00, "final_energy_ev_per_fu": -23.58, "vol_a3_per_atom": 13.50, "dos_at_fermi_per_ev_cell": 3.12}

=====

Record 5
{"formula": "HOsAu2", "functional": "GGA-PBE", "state": "optimized geometry", "lattice_angstrom": [[-3.0941, 3.0941, 2.8812], [3.0941, -3.0941, 2.8812], [3.0941, 3.0941, -2.8812]], "species": ["H", "H", "Os", "Os", "Au", "Au", "Au", "Au"], "fractional_positions": [[0.0000, 0.0000, 0.0000], [0.7500, 0.2500, 0.5000], [0.2500, 0.7500, 0.5000], [0.5000, 0.5000, 0.0000], [0.0293, 0.6250, 0.9043], [0.3750, 0.2793, 0.4043], [0.7207, 0.1250, 0.0957], [0.8750, 0.9707, 0.5957]], "sg": "No. 122", "magnetic_moment_mub_per_fu": 0.00, "final_energy_ev_per_fu": -17.52, "vol_a3_per_atom": 13.79, "dos_at_fermi_per_ev_cell": 8.10}

=====

Record 6
{"formula": "HOs2RuAu", "functional": "GGA-PBE", "state": "optimized geometry", "lattice_angstrom": [[4.6517, 0.0000, 0.0000], [0.0000, 4.6517, 0.0000], [0.0000, 0.0000, 5.1680]], "species": ["H", "Os", "Os", "Ru", "Au"], "fractional_positions": [[0.0000, 0.0000, 0.0000], [0.0000, 0.5000, 0.5000], [0.5000, 0.0000, 0.5000], [0.5000, 0.5000, 0.5000], [0.5000, 0.5000, 0.0000]], "sg": "No. 123", "magnetic_moment_mub_per_fu": 3.53, "final_energy_ev_per_fu": -25.92, "vol_a3_per_atom": 22.37, "dos_at_fermi_per_ev_cell": 6.31}

=====

Record 7
{"formula": "ScH2OsAu", "functional": "GGA-PBE", "state": "optimized geometry", "lattice_angstrom": [[3.6415, 0.0000, 0.0000], [0.0000, 3.6415, 0.0000], [0.0000, 0.0000, 5.4353]], "species": ["Sc", "H", "H", "Os", "Au"], "fractional_positions": [[0.0000, 0.0000, 0.0000], [0.0000, 0.5000, 0.5000], [0.5000, 0.0000, 0.5000], [0.5000, 0.5000, 0.0000], [0.5000, 0.5000, 0.5000]], "sg": "No. 123", "magnetic_moment_mub_per_fu": 0.00, "final_energy_ev_per_fu": -25.15, "vol_a3_per_atom": 14.41, "dos_at_fermi_per_ev_cell": 3.71}

=====

Record 8
{"formula": "SiH2OsAu", "functional": "GGA-PBE", "state": "optimized geometry", "lattice_angstrom": [[3.5790, 0.0000, 0.0000], [0.0000, 3.5790, 0.0000], [0.0000, 0.0000, 4.7578]], "species": ["Si", "H", "H", "Os", "Au"], "fractional_positions": [[0.0000, 0.0000, 0.0000], [0.0000, 0.5000, 0.5000], [0.5000, 0.0000, 0.5000], [0.0000, 0.0000, 0.5000], [0.5000, 0.5000, 0.0000]], "sg": "No. 123", "magnetic_moment_mub_per_fu": 0.00, "final_energy_ev_per_fu": -24.20, "vol_a3_per_atom": 12.19, "dos_at_fermi_per_ev_cell": 2.48}